[1]
{
  "formula": "LaSc2Ga",
  "functional": "PBE",
  "state": "optimized geometry",
  "lattice_angstrom": [[4.4325, 0.0000, 0.0000], [0.0000, 4.4325, 0.0000], [2.2163, 2.2163, 10.5071]],
  "species": ["Sc", "Sc", "La", "Ga", "Sc", "Sc", "Ga", "La"],
  "frac_coords": [[0.8750, 0.8509, 0.7500], [0.1491, 0.6250, 0.2500], [0.0000, 0.0000, 0.0000], [0.2500, 0.7500, 0.5000], [0.3750, 0.3991, 0.7500], [0.6009, 0.1250, 0.2500], [0.5000, 0.5000, 0.0000], [0.7500, 0.2500, 0.5000]],
  "e_tot_ev_per_cell": -41.24,
  "dos_ef_per_ev_fu": 1.79,
  "mass_density_kg_m3": 4803
}

---

[2]
{
  "formula": "Zr4CuPt",
  "functional": "PBE",
  "state": "optimized geometry",
  "lattice_angstrom": [[0.0000, 3.9416, 3.9416], [3.9416, 0.0000, 3.9416], [3.9416, 3.9416, 0.0000]],
  "species": ["Pt", "Zr", "Zr", "Zr", "Cu", "Zr"],
  "frac_coords": [[0.0000, 0.0000, 0.0000], [0.3744, 0.3744, 0.8768], [0.3744, 0.3744, 0.3744], [0.3744, 0.8768, 0.3744], [0.7500, 0.7500, 0.7500], [0.8768, 0.3744, 0.3744]],
  "de_polymorph_mev_per_atom": 763,
  "dos_ef_per_ev_fu": 5.93,
  "mass_density_kg_m3": 8454
}

---

[3]
{
  "formula": "Ta2ICl",
  "functional": "PBE",
  "state": "optimized geometry",
  "lattice_angstrom": [[0.0000, 3.3332, 3.3332], [3.3332, 0.0000, 3.3332], [3.3332, 3.3332, 0.0000]],
  "species": ["Cl", "Ta", "I", "Ta"],
  "frac_coords": [[0.0000, 0.0000, 0.0000], [0.2500, 0.2500, 0.2500], [0.5000, 0.5000, 0.5000], [0.7500, 0.7500, 0.7500]],
  "de_polymorph_mev_per_atom": 364,
  "dos_ef_per_ev_fu": 5.17,
  "mass_density_kg_m3": 11754
}

---

[4]
{
  "formula": "TaAgBr2",
  "functional": "PBE",
  "state": "optimized geometry",
  "lattice_angstrom": [[3.2274, 0.0000, 0.0000], [0.0000, 3.2274, 0.0000], [0.0000, 0.0000, 8.6164]],
  "species": ["Br", "Br", "Ag", "Ta"],
  "frac_coords": [[0.5000, 0.5000, 0.3224], [0.0000, 0.0000, 0.9330], [0.5000, 0.5000, 0.7308], [0.0000, 0.0000, 0.5138]],
  "de_polymorph_mev_per_atom": 196,
  "dos_ef_per_ev_fu": 1.58,
  "mass_density_kg_m3": 8301
}

---

[5]
{
  "formula": "Nd2MnHg",
  "functional": "PBE",
  "state": "optimized geometry",
  "lattice_angstrom": [[3.6880, 0.0000, 0.0000], [0.0000, 3.6880, 0.0000], [0.0000, 0.0000, 7.7866]],
  "species": ["Mn", "Nd", "Hg", "Nd"],
  "frac_coords": [[0.5000, 0.5000, 0.0000], [0.0000, 0.0000, 0.2345], [0.5000, 0.5000, 0.5000], [0.0000, 0.0000, 0.7655]],
  "de_polymorph_mev_per_atom": 0,
  "dos_ef_per_ev_fu": 4.16,
  "mass_density_kg_m3": 8530
}

---

[6]
{
  "formula": "BrF",
  "functional": "PBE",
  "state": "optimized geometry",
  "lattice_angstrom": [[-4.4389, -5.8994, -6.5498], [9.4185, 2.6364, -1.3218], [1.1669, -3.1450, 2.0418]],
  "species": ["F", "F", "Br", "Br", "F", "F", "F", "Br", "F", "Br", "Br", "Br"],
  "frac_coords": [[0.4823, 0.3537, 0.2500], [0.1286, 0.4823, 0.7500], [0.8229, 0.6718, 0.2500], [0.8489, 0.1771, 0.2500], [0.5177, 0.6463, 0.7500], [0.3537, 0.8714, 0.7500], [0.6463, 0.1286, 0.2500], [0.6718, 0.8489, 0.7500], [0.8714, 0.5177, 0.2500], [0.1771, 0.3282, 0.7500], [0.1511, 0.8229, 0.7500], [0.3282, 0.1511, 0.2500]],
  "e_tot_ev_per_cell": -25.35,
  "mass_density_kg_m3": 2975
}